[1]
LaNd5Tm3 (PBE, relaxed); energy above the lowest structure with this stoichiometry = 12 meV/atom; space group = C2/c (15); ΔE_f = 2.536 eV/f.u.
1.0
9.3650 -3.2639 0.0000
9.3650 3.2639 0.0000
-4.6296 0.0000 10.3575
La Nd Tm
2 10 6
Direct
0.1432 0.8568 0.7500
0.8568 0.1432 0.2500
0.0035 0.6584 0.1366
0.1333 0.5306 0.7918
0.3416 0.9965 0.3634
0.3961 0.6039 0.2500
0.4694 0.8667 0.7082
0.5306 0.1333 0.2918
0.6039 0.3961 0.7500
0.6584 0.0035 0.6366
0.8667 0.4694 0.2082
0.9965 0.3416 0.8634
0.0000 0.0000 0.0000
0.0000 0.0000 0.5000
0.1372 0.5389 0.4859
0.4611 0.8628 0.0141
0.5389 0.1372 0.9859
0.8628 0.4611 0.5141

***

[2]
ReRh3I (PBE, relaxed); energy above the lowest structure with this stoichiometry = 0 meV/atom; space group = Pm-3m (221); formation energy (no corrections) = 5.95 eV per formula unit
1.0
4.7744 0.0000 0.0000
0.0000 4.7744 0.0000
0.0000 0.0000 4.7744
Re Rh I
1 3 1
Direct
0.0000 0.0000 0.0000
0.0000 0.0000 0.5000
0.0000 0.5000 0.0000
0.5000 0.0000 0.0000
0.5000 0.5000 0.5000

***

[3]
Cd2GeMo (PBE, relaxed); space group = I-42d (122); ΔE_f = 2.470 eV/f.u.
1.0
7.7722 0.0000 0.0000
0.0000 7.7722 0.0000
0.0000 0.0000 5.2986
Cd Ge Mo
8 4 4
Direct
0.2385 0.7500 0.1250
0.2500 0.2385 0.8750
0.2500 0.2615 0.3750
0.2615 0.7500 0.6250
0.7385 0.2500 0.6250
0.7500 0.7385 0.3750
0.7500 0.7615 0.8750
0.7615 0.2500 0.1250
0.0000 0.0000 0.0000
0.0000 0.5000 0.2500
0.5000 0.0000 0.7500
0.5000 0.5000 0.5000
0.0000 0.0000 0.5000
0.0000 0.5000 0.7500
0.5000 0.0000 0.2500
0.5000 0.5000 0.0000

***

[4]
Ti2NbV (PBE, relaxed); energy above the lowest structure with this stoichiometry = 47 meV/atom; space group = Cm (8); ΔE_f = 0.535 eV/f.u.
1.0
5.3413 0.0000 0.0000
0.0000 2.7815 0.0000
-2.0706 0.0000 8.9508
Ti Nb V
4 2 2
Direct
0.0000 0.0000 0.0000
0.2232 0.5000 0.4619
0.5000 0.5000 0.0000
0.7232 0.0000 0.4619
0.0963 0.5000 0.7279
0.5963 0.0000 0.7279
0.3528 0.5000 0.2314
0.8528 0.0000 0.2314

***

[5]
CuAsOF2 (PBE, relaxed); energy above the lowest structure with this stoichiometry = 284 meV/atom; space group = P4/mmm (123); formation energy (no corrections) = -2.70 eV per formula unit
1.0
3.8606 0.0000 0.0000
0.0000 3.8606 0.0000
0.0000 0.0000 3.8512
Cu As O F
1 1 1 2
Direct
0.0000 0.0000 0.0000
0.5000 0.5000 0.5000
0.0000 0.0000 0.5000
0.0000 0.5000 0.0000
0.5000 0.0000 0.0000

***

[6]
CdRe2Te (PBE, relaxed); energy above the lowest structure with this stoichiometry = 279 meV/atom; space group = Pm (6); formation energy (no corrections) = 2.63 eV per formula unit
1.0
3.1542 0.0000 0.0000
0.0000 4.1169 0.0000
-0.0074 0.0000 6.7582
Cd Re Te
1 2 1
Direct
0.0000 0.0000 0.0000
0.0002 0.5000 0.3258
0.5005 0.0000 0.3607
0.5011 0.5000 0.6624

***

no.,size of the total moment (Bohr magnetons per cell),Fermi-level density of states (states/eV per cell)
1,0.000,26.296
2,0.000,4.470
3,0.001,4.883
4,0.000,11.886
5,0.000,3.799
6,0.000,2.780